A plane-wave DFT calculation with SCAN was carried out for a PBEsol-optimized structure of CaAlCd.

Values from the calculation:
Mass density ... 4.3 Mg/m³
Formation enthalpy at 0 K ... -0.345 eV/atom
Space-group type ... P-6m2, No. 187

```
3
Lattice="3.525 0.000 0.000 0.000 4.761 0.000 0.000 -2.381 4.123" Properties=species:S:1:pos:R:3 pbc="T T T"
Ca 0.000 0.000 2.749
Al 1.762 0.000 0.000
Cd 1.762 2.381 1.374
```

A plane-wave DFT calculation with SCAN was carried out for a PBEsol-optimized structure of TcP2Au.

Values from the calculation:
Mass density ... 9.7 Mg/m³
Formation enthalpy at 0 K ... 0.340 eV/atom
Space-group type ... Cmmm, No. 65

```
4
Lattice="2.579 0.000 0.000 0.000 5.001 -0.052 0.000 -1.619 4.732" Properties=species:S:1:pos:R:3 pbc="T T T"
Au 0.000 1.691 2.340
P 0.000 2.500 -0.026
P 0.000 -0.810 2.366
Tc 0.000 0.000 0.000
```

Q: Which value of formation enthalpy at 0 K does entry 2 give?
A: 0.340 eV/atom

Q: Which of these has the highest mass density?
A: TcP2Au